Sm6Si2GeCl3 | PBE | optimized geometry

abc: 4.2138 8.3732 9.3737
angles: 102.50 102.99 90.00
Closest atoms and distances in Å follow each position.
Sites, in units of the cell vectors:
Sm 0.0069 0.2391 0.0138  1 Si 2.85, 2 Ge 2.89, 3 Cl 3.06-3.08
Cl 0.5000 0.5000 0.0000  6 Sm 3.06-3.07
Si 0.1668 0.3344 0.3336  6 Sm 2.85-2.87
Cl 0.1662 0.8337 0.3324  6 Sm 3.05-3.09
Si 0.8332 0.6656 0.6664  6 Sm 2.85-2.87
Ge 0.5000 0.0000 0.0000  6 Sm 2.89-2.91
Sm 0.3275 0.4304 0.6550  3 Si 2.87, 3 Cl 3.07
Sm 0.6628 0.1016 0.3256  2 Si 2.86, 1 Ge 2.91, 3 Cl 3.05-3.09
Sm 0.3372 0.8984 0.6744  2 Si 2.86, 1 Ge 2.91, 3 Cl 3.05-3.09
Sm 0.6725 0.5696 0.3450  3 Si 2.87, 3 Cl 3.07
Cl 0.8338 0.1663 0.6676  6 Sm 3.05-3.09
Sm 0.9931 0.7609 0.9862  1 Si 2.85, 2 Ge 2.89, 3 Cl 3.06-3.08

Properties
The calculation puts the uncorrected energy at -5.30 eV per atom.